## ScTePb3 (PBE-GGA)

Data for a relaxed structure of ScTePb3.

```
ScTePb3
1.0
-4.684 -2.465 -2.050
3.140 -4.263 -2.048
-0.650 -2.824 4.881
Pb Te Sc
3 1 1
Direct
0.000 0.500 0.000 Pb
0.500 0.000 0.000 Pb
0.000 0.000 0.500 Pb
0.500 0.500 0.500 Te
0.000 0.000 0.000 Sc
```

Output
Polymorph energy (0 for the lowest one) = 0.000 eV per atom

***

## Rb4S12I (PBE-GGA)

Data for a relaxed structure of Rb4S12I.

```
Rb4S12I
1.0
-3.287 4.374 7.496
1.739 -8.870 2.108
7.839 4.111 -2.791
S Rb I
12 4 1
Direct
0.713 0.122 0.590 S
0.410 0.287 0.878 S
0.122 0.410 0.532 S
0.410 0.532 0.122 S
0.122 0.590 0.713 S
0.468 0.878 0.590 S
0.532 0.122 0.410 S
0.878 0.590 0.468 S
0.590 0.468 0.878 S
0.590 0.713 0.122 S
0.878 0.410 0.287 S
0.287 0.878 0.410 S
0.000 0.500 0.000 Rb
0.500 0.000 0.000 Rb
0.500 0.500 0.500 Rb
0.000 0.000 0.500 Rb
0.000 0.000 0.000 I
```

***

## YAs3Pb (PBE-GGA)

Data for a relaxed structure of YAs3Pb.

```
YAs3Pb
1.0
5.405 0.000 0.000
0.000 5.405 0.000
0.000 0.000 5.405
Pb Y As
1 1 3
Direct
0.500 0.500 0.500 Pb
0.000 0.000 0.000 Y
0.000 0.500 0.000 As
0.500 0.000 0.000 As
0.000 0.000 0.500 As
```

Output
Energy of formation from the pure elements = 0.21 eV/atom
Polymorph energy (0 for the lowest one) = 0.000 eV per atom

***

## AlSiNi3 (PBE-GGA)

Data for a relaxed structure of AlSiNi3.

```
AlSiNi3
1.0
-2.922 1.933 -1.495
-3.017 -3.799 0.984
-1.126 5.298 4.185
Ni Al Si
6 2 2
Direct
0.009 0.375 0.968 Ni
0.838 0.215 0.308 Ni
0.626 0.002 0.731 Ni
0.244 0.628 0.495 Ni
0.626 0.502 0.731 Ni
0.415 0.788 0.155 Ni
0.214 0.167 0.556 Al
0.039 0.836 0.907 Al
0.433 0.269 0.119 Si
0.820 0.734 0.344 Si
```

Output
Polymorph energy (0 for the lowest one) = 0.000 eV per atom

***

Values for calculated total energy, eV per cell, ordered as above
-19.0 -62.1 -23.0 -58.5